# 1
Here is a relaxed structure of TlBiW from OQMD. Energies are from GGA-PBE.

The structure in CIF format:
```
data_TlBiW
_chemical_formula_sum 'Tl4 Bi4 W4'
_symmetry_space_group_name_H-M 'F -4 3 m'
_symmetry_Int_Tables_number 216
_symmetry_space_group_name_Hall 'F -4 2 3'
_cell_length_a 6.847
_cell_length_b 6.847
_cell_length_c 6.847
_cell_angle_alpha 90.00
_cell_angle_beta 90.00
_cell_angle_gamma 90.00
loop_
_atom_site_label
_atom_site_fract_x
_atom_site_fract_y
_atom_site_fract_z
Tl1 0.000 0.000 0.000
Bi1 0.000 0.000 0.500
W1 0.250 0.250 0.750
```

Values from the calculation:
energy above the lowest structure with this stoichiometry	0	meV/atom


# 2
Here is a relaxed structure of SmUFe from OQMD. Energies are from GGA-PBE.

The structure in CIF format:
```
data_SmUFe
_chemical_formula_sum 'Sm4 U4 Fe4'
_symmetry_space_group_name_H-M 'F -4 3 m'
_symmetry_Int_Tables_number 216
_symmetry_space_group_name_Hall 'F -4 2 3'
_cell_length_a 6.501
_cell_length_b 6.501
_cell_length_c 6.501
_cell_angle_alpha 90.00
_cell_angle_beta 90.00
_cell_angle_gamma 90.00
loop_
_atom_site_label
_atom_site_fract_x
_atom_site_fract_y
_atom_site_fract_z
Sm1 0.000 0.000 0.000
U1 0.000 0.000 0.500
Fe1 0.250 0.250 0.750
```

Values from the calculation:
energy above the lowest structure with this stoichiometry	0	meV/atom
DFT formation energy	0.524	eV per atom


# 3
Here is a relaxed structure of Rb2CdAuBr6 from OQMD. Energies are from GGA-PBE.

The structure in CIF format:
```
data_Rb2CdAuBr6
_chemical_formula_sum 'Rb8 Cd4 Au4 Br24'
_symmetry_space_group_name_H-M 'F m -3 m'
_symmetry_Int_Tables_number 225
_symmetry_space_group_name_Hall '-F 4 2 3'
_cell_length_a 11.013
_cell_length_b 11.013
_cell_length_c 11.013
_cell_angle_alpha 90.00
_cell_angle_beta 90.00
_cell_angle_gamma 90.00
loop_
_atom_site_label
_atom_site_fract_x
_atom_site_fract_y
_atom_site_fract_z
Rb1 0.250 0.250 0.250
Cd1 0.000 0.000 0.000
Au1 0.000 0.000 0.500
Br1 0.000 0.000 0.252
```


The calculation returns the following calculated density values, one per record and in order: 12.358 10.741 4.772 Mg/m³.
The calculation returns the following electronic total energy values, one per record and in order: -5.286 -7.581 -2.559 eV/atom.